The following is a PBE calculation of a relaxed LaNi2PH crystal, from Alexandria.

```
data_LaNi2PH
_chemical_formula_sum 'La4 Ni8 P4 H4'
_symmetry_space_group_name_H-M 'C m c m'
_symmetry_Int_Tables_number 63
_symmetry_space_group_name_Hall '-C 2c 2'
_cell_length_a 3.833
_cell_length_b 10.557
_cell_length_c 6.639
_cell_angle_alpha 90.00
_cell_angle_beta 90.00
_cell_angle_gamma 90.00
loop_
_atom_site_label
_atom_site_fract_x
_atom_site_fract_y
_atom_site_fract_z
La1 0.000 0.058 0.250
Ni1 0.000 0.327 0.060
P1 0.000 0.223 0.750
H1 0.000 0.500 0.000
```

* calculated total energy: -116.46 eV per cell

***

The following is a PBE calculation of a relaxed AlTcHg2 crystal, from Alexandria.

```
data_AlTcHg2
_chemical_formula_sum 'Al2 Tc2 Hg4'
_symmetry_space_group_name_H-M 'I m m m'
_symmetry_Int_Tables_number 71
_symmetry_space_group_name_Hall '-I 2 2'
_cell_length_a 3.726
_cell_length_b 4.138
_cell_length_c 9.405
_cell_angle_alpha 90.00
_cell_angle_beta 90.00
_cell_angle_gamma 90.00
loop_
_atom_site_label
_atom_site_fract_x
_atom_site_fract_y
_atom_site_fract_z
Al1 0.000 0.000 0.000
Tc1 0.000 0.000 0.500
Hg1 0.000 0.500 0.261
```

* formation energy: 0.377 eV/atom

***

The following is a PBE calculation of a relaxed K3CaOs crystal, from Alexandria.

```
data_K3CaOs
_chemical_formula_sum 'K3 Ca1 Os1'
_symmetry_space_group_name_H-M 'P m -3 m'
_symmetry_Int_Tables_number 221
_symmetry_space_group_name_Hall '-P 4 2 3'
_cell_length_a 7.242
_cell_length_b 7.242
_cell_length_c 7.242
_cell_angle_alpha 90.00
_cell_angle_beta 90.00
_cell_angle_gamma 90.00
loop_
_atom_site_label
_atom_site_fract_x
_atom_site_fract_y
_atom_site_fract_z
K1 0.000 0.000 0.500
Ca1 0.000 0.000 0.000
Os1 0.500 0.500 0.500
```

* distance to the lowest polymorph of the same formula: 60.3 kJ/mol of atoms
* formation energy: 1.849 eV/atom

***

The following is a PBE calculation of a relaxed Sr2Sb2Pt3 crystal, from Alexandria.

```
data_Sr2Sb2Pt3
_chemical_formula_sum 'Sr4 Sb4 Pt6'
_symmetry_space_group_name_H-M 'C 1 2/m 1'
_symmetry_Int_Tables_number 12
_symmetry_space_group_name_Hall '-C 2y'
_cell_length_a 11.577
_cell_length_b 4.422
_cell_length_c 7.248
_cell_angle_alpha 90.00
_cell_angle_beta 116.27
_cell_angle_gamma 90.00
loop_
_atom_site_label
_atom_site_fract_x
_atom_site_fract_y
_atom_site_fract_z
Sr1 0.136 0.000 0.265
Sb1 0.153 0.000 0.756
Pt1 0.000 0.500 0.500
Pt2 0.100 0.500 0.927
```

* formation energy (no corrections): -0.757 eV per atom